No. 1
A plane-wave DFT calculation with PBE was carried out for a geometry-optimized CsTl2In structure.

Structure (POSCAR):
```
CsTl2In
1.0
2.541 1.467 7.594
-2.541 1.467 7.594
0.000 -2.934 7.594
Cs Tl In
1 2 1
Direct
0.000 0.000 0.000
0.213 0.213 0.213
0.450 0.450 0.450
0.822 0.822 0.822
```

Output
Total DFT energy (no corrections), eV/atom: -2.1638
Spin magnetization, μB per formula unit: 0.0
Formation enthalpy at 0 K, eV per atom: -0.083
Symmetry: R3m, No. 160
Energy above the most stable polymorph in this dataset, meV per atom: 21
DOS(E_F), states/eV/atom: 0.419



No. 2
A plane-wave DFT calculation with PBE was carried out for a geometry-optimized CsTl2In8 structure.

Structure (POSCAR):
```
CsTl2In8
1.0
5.572 0.000 0.000
0.000 5.572 0.000
0.000 0.000 12.697
Cs Tl In
1 2 8
Direct
0.000 0.000 0.000
0.000 0.000 0.363
0.000 0.000 0.637
0.000 0.500 0.234
0.000 0.500 0.500
0.000 0.500 0.766
0.500 0.000 0.234
0.500 0.000 0.500
0.500 0.000 0.766
0.500 0.500 0.366
0.500 0.500 0.634
```

Output
Total DFT energy (no corrections), eV/atom: -2.4673
Spin magnetization, μB per formula unit: 0.0
Formation enthalpy at 0 K, eV per atom: 0.032
Symmetry: P4/mmm, No. 123
DOS(E_F), states/eV/atom: 0.283



No. 3
A plane-wave DFT calculation with PBE was carried out for a geometry-optimized CsTl2In structure.

Structure (POSCAR):
```
CsTl2In
1.0
6.191 0.000 0.000
0.000 6.191 0.000
0.000 0.000 3.886
Cs Tl In
1 2 1
Direct
0.000 0.000 0.000
0.000 0.500 0.500
0.500 0.000 0.500
0.500 0.500 0.000
```

Output
Total DFT energy (no corrections), eV/atom: -1.9552
Spin magnetization, μB per formula unit: 0.0
Formation enthalpy at 0 K, eV per atom: 0.126
Symmetry: P4/mmm, No. 123
Energy above the most stable polymorph in this dataset, meV per atom: 229
DOS(E_F), states/eV/atom: 0.697



No. 4
A plane-wave DFT calculation with PBE was carried out for a geometry-optimized CsTl10In2 structure.

Structure (POSCAR):
```
CsTl10In2
1.0
0.000 8.026 8.181
3.248 0.000 8.181
3.248 8.026 0.000
Cs Tl In
1 10 2
Direct
0.000 0.000 0.000
0.000 0.000 0.500
0.004 0.358 0.642
0.282 0.496 0.504
0.358 0.004 0.996
0.496 0.282 0.718
0.500 0.500 0.000
0.504 0.718 0.282
0.642 0.996 0.004
0.718 0.504 0.496
0.996 0.642 0.358
0.000 0.500 0.000
0.500 0.000 0.500
```

Output
Total DFT energy (no corrections), eV/atom: -2.3284
Spin magnetization, μB per formula unit: 0.0
Formation enthalpy at 0 K, eV per atom: -0.021
Symmetry: Fmmm, No. 69
DOS(E_F), states/eV/atom: 0.465



No. 5
A plane-wave DFT calculation with PBE was carried out for a geometry-optimized Cs5Tl2In structure.

Structure (POSCAR):
```
Cs5Tl2In
1.0
2.558 -8.779 0.000
2.558 8.779 0.000
0.000 0.000 24.654
Cs Tl In
10 4 2
Direct
0.053 0.947 0.750
0.157 0.843 0.573
0.157 0.843 0.927
0.402 0.598 0.614
0.402 0.598 0.886
0.598 0.402 0.114
0.598 0.402 0.386
0.843 0.157 0.073
0.843 0.157 0.427
0.947 0.053 0.250
0.250 0.750 0.182
0.250 0.750 0.318
0.750 0.250 0.682
0.750 0.250 0.818
0.276 0.724 0.750
0.724 0.276 0.250
```

Output
Total DFT energy (no corrections), eV/atom: -1.5097
Spin magnetization, μB per formula unit: 0.0
Formation enthalpy at 0 K, eV per atom: -0.042
Symmetry: Cmcm, No. 63
DOS(E_F), states/eV/atom: 0.819



No. 6
A plane-wave DFT calculation with PBE was carried out for a geometry-optimized CsTl2In2 structure.

Structure (POSCAR):
```
CsTl2In2
1.0
-2.610 2.610 6.596
2.610 -2.610 6.596
2.610 2.610 -6.596
Cs Tl In
1 2 2
Direct
0.000 0.000 0.000
0.381 0.381 0.000
0.619 0.619 0.000
0.250 0.750 0.500
0.750 0.250 0.500
```

Output
Total DFT energy (no corrections), eV/atom: -2.2850
Spin magnetization, μB per formula unit: 0.0
Formation enthalpy at 0 K, eV per atom: -0.072
Symmetry: I4/mmm, No. 139
Energy above the most stable polymorph in this dataset, meV per atom: 18
DOS(E_F), states/eV/atom: 0.441



No. 7
A plane-wave DFT calculation with PBE was carried out for a geometry-optimized Cs3Tl9In2 structure.

Structure (POSCAR):
```
Cs3Tl9In2
1.0
-2.662 6.442 7.687
2.662 -6.442 7.687
2.662 6.442 -7.687
Cs Tl In
3 9 2
Direct
0.000 0.000 0.000
0.297 0.297 0.000
0.703 0.703 0.000
0.016 0.668 0.347
0.157 0.873 0.284
0.321 0.668 0.653
0.411 0.127 0.284
0.500 0.000 0.500
0.589 0.873 0.716
0.679 0.332 0.347
0.843 0.127 0.716
0.984 0.332 0.653
0.313 0.500 0.813
0.687 0.500 0.187
```

Output
Total DFT energy (no corrections), eV/atom: -2.1447
Spin magnetization, μB per formula unit: 0.0
Formation enthalpy at 0 K, eV per atom: -0.049
Symmetry: Immm, No. 71
DOS(E_F), states/eV/atom: 0.576



No. 8
A plane-wave DFT calculation with PBE was carried out for a geometry-optimized CsTl11In structure.

Structure (POSCAR):
```
CsTl11In
1.0
3.280 -8.063 0.000
3.280 8.063 0.000
-3.109 0.000 8.162
Cs Tl In
1 11 1
Direct
0.000 0.000 0.000
0.000 0.000 0.500
0.000 0.500 0.000
0.005 0.362 0.361
0.287 0.502 0.779
0.362 0.005 0.361
0.498 0.713 0.221
0.500 0.000 0.000
0.502 0.287 0.779
0.638 0.995 0.639
0.713 0.498 0.221
0.995 0.638 0.639
0.500 0.500 0.500
```

Output
Total DFT energy (no corrections), eV/atom: -2.2963
Spin magnetization, μB per formula unit: 0.0
Formation enthalpy at 0 K, eV per atom: -0.018
Symmetry: C2/m, No. 12
DOS(E_F), states/eV/atom: 0.452



No. 9
A plane-wave DFT calculation with PBE was carried out for a geometry-optimized Cs2Tl9In4 structure.

Structure (POSCAR):
```
Cs2Tl9In4
1.0
5.465 0.000 0.000
-2.733 4.733 0.000
0.000 0.000 20.952
Cs Tl In
2 9 4
Direct
0.333 0.667 0.263
0.667 0.333 0.737
0.000 0.000 0.000
0.000 0.000 0.149
0.000 0.000 0.411
0.000 0.000 0.589
0.000 0.000 0.851
0.333 0.667 0.054
0.333 0.667 0.463
0.667 0.333 0.537
0.667 0.333 0.946
0.333 0.667 0.613
0.333 0.667 0.892
0.667 0.333 0.108
0.667 0.333 0.387
```

Output
Total DFT energy (no corrections), eV/atom: -2.2964
Spin magnetization, μB per formula unit: 0.0
Formation enthalpy at 0 K, eV per atom: -0.033
Symmetry: P-3m1, No. 164
DOS(E_F), states/eV/atom: 0.316



No. 10
A plane-wave DFT calculation with PBE was carried out for a geometry-optimized Cs3Tl8In2 structure.

Structure (POSCAR):
```
Cs3Tl8In2
1.0
4.105 2.370 10.735
-4.105 2.370 10.735
0.000 -4.740 10.735
Cs Tl In
3 8 2
Direct
0.000 0.000 0.000
0.245 0.245 0.245
0.755 0.755 0.755
0.124 0.735 0.735
0.265 0.265 0.876
0.265 0.876 0.265
0.362 0.362 0.362
0.638 0.638 0.638
0.735 0.124 0.735
0.735 0.735 0.124
0.876 0.265 0.265
0.452 0.452 0.452
0.548 0.548 0.548
```

Output
Total DFT energy (no corrections), eV/atom: -2.0067
Spin magnetization, μB per formula unit: 0.0
Formation enthalpy at 0 K, eV per atom: 0.068
Symmetry: R-3m, No. 166
DOS(E_F), states/eV/atom: 0.824



No. 11
A plane-wave DFT calculation with PBE was carried out for a geometry-optimized CsTl2In6 structure.

Structure (POSCAR):
```
CsTl2In6
1.0
5.451 0.000 0.000
0.000 5.451 0.000
0.000 0.000 10.058
Cs Tl In
1 2 6
Direct
0.000 0.000 0.000
0.500 0.500 0.163
0.500 0.500 0.837
0.000 0.000 0.500
0.000 0.500 0.328
0.000 0.500 0.672
0.500 0.000 0.328
0.500 0.000 0.672
0.500 0.500 0.500
```

Output
Total DFT energy (no corrections), eV/atom: -2.4993
Spin magnetization, μB per formula unit: 0.0
Formation enthalpy at 0 K, eV per atom: -0.053
Symmetry: P4/mmm, No. 123
DOS(E_F), states/eV/atom: 0.497



No. 12
A plane-wave DFT calculation with PBE was carried out for a geometry-optimized CsTl9In3 structure.

Structure (POSCAR):
```
CsTl9In3
1.0
3.204 -8.120 0.000
3.204 8.120 0.000
-2.995 0.000 8.081
Cs Tl In
1 9 3
Direct
0.000 0.000 0.000
0.000 0.000 0.500
0.002 0.643 0.645
0.287 0.506 0.785
0.357 0.998 0.355
0.494 0.713 0.215
0.506 0.287 0.785
0.643 0.002 0.645
0.713 0.494 0.215
0.998 0.357 0.355
0.000 0.500 0.000
0.500 0.000 0.000
0.500 0.500 0.500
```

Output
Total DFT energy (no corrections), eV/atom: -2.3580
Spin magnetization, μB per formula unit: 0.0
Formation enthalpy at 0 K, eV per atom: -0.022
Symmetry: C2/m, No. 12
DOS(E_F), states/eV/atom: 0.395